[1]
Compound: YAs2Ru
Source: the Alexandria database
Functional: GGA-PBE
Structure: optimized geometry

Values from the calculation:
Its crystal system is trigonal. As for the symmetry: R3m (160). The formation enthalpy at 0 K comes out at -0.0937 eV per atom.

Cell: 8.490 8.490 8.490 Å, 23.04 23.04 23.04°
Atoms (fractional coordinates):
Y1 0.000 0.000 0.000
As1 0.517 0.517 0.517
As2 0.757 0.757 0.757
Ru1 0.244 0.244 0.244


[2]
Compound: Tb2TlSb
Source: the Alexandria database
Functional: GGA-PBE
Structure: optimized geometry

Values from the calculation:
The value obtained for the formation energy without anion corrections is -0.588 eV per atom. Its crystal system is trigonal. As for the symmetry: R3m (160).

Cell: 8.643 8.643 8.643 Å, 27.80 27.80 27.80°
Atoms (fractional coordinates):
Tb1 0.000 0.000 0.000
Tb2 0.182 0.182 0.182
Tl1 0.424 0.424 0.424
Sb1 0.592 0.592 0.592


Number 1: excess energy over the best structure of this formula in the dataset 2.53 eV per formula unit. Number 2: excess energy over the best structure of this formula in the dataset 0.57 eV per formula unit.